19
Lattice="5.864 3.386 3.573 -5.864 3.386 3.573 0.000 -6.771 3.573" Properties=species:S:1:pos:R:3 comment="PBE Hf12CuRh6, optimized geometry" formation_energy_ev_per_fu=-4.9 space_group="R-3, No. 148" dft_energy_ev_per_atom=-9.082 magnetic_moment_mub_per_cell=0.0 pbc="T T T"
Hf -3.615 -3.820 5.987
Hf -5.116 1.221 4.732
Hf -1.491 -1.915 4.251
Hf 1.501 -5.041 4.732
Hf -2.404 0.334 6.468
Hf -0.913 2.249 4.251
Hf 0.913 -2.249 6.468
Hf 2.404 -0.334 4.251
Hf -1.501 5.041 5.987
Hf 1.491 1.915 6.468
Hf 5.116 -1.221 5.987
Hf 3.615 3.820 4.732
Cu 0.000 0.000 0.000
Rh -2.788 0.490 3.750
Rh 0.970 -2.660 3.750
Rh -1.819 -2.170 6.970
Rh 1.819 2.170 3.750
Rh -0.970 2.660 6.970
Rh 2.788 -0.490 6.970